Below is a relaxed structure of Sc2Nb, with properties calculated at the PBE-GGA level.

Summary:
**Polymorph energy (0 for the lowest one)**: 533.1 meV per atom
**Formation energy**: 0.594 eV per atom

Geometry as POSCAR:
```
Sc2Nb
1.0
0.000 3.963 3.963
3.963 0.000 3.963
3.963 3.963 0.000
Sc Nb
4 2
direct
0.000 0.000 0.000
0.000 0.000 0.500
0.000 0.500 0.000
0.500 0.000 0.000
0.375 0.375 0.375
0.625 0.625 0.625
```



Below is a relaxed structure of Sc2Nb3Si4, with properties calculated at the PBE-GGA level.

Summary:
**DFT total energy**: -8.0056 eV/atom

Geometry as POSCAR:
```
Sc2Nb3Si4
1.0
6.710 0.000 0.000
0.000 13.127 0.000
0.000 0.000 6.904
Sc Nb Si
8 12 16
direct
0.001 0.096 0.174
0.001 0.404 0.174
0.499 0.596 0.674
0.499 0.904 0.674
0.501 0.096 0.326
0.501 0.404 0.326
0.999 0.596 0.826
0.999 0.904 0.826
0.162 0.125 0.676
0.162 0.375 0.676
0.164 0.750 0.495
0.336 0.250 0.995
0.338 0.625 0.176
0.338 0.875 0.176
0.662 0.125 0.824
0.662 0.375 0.824
0.664 0.750 0.005
0.836 0.250 0.505
0.838 0.625 0.324
0.838 0.875 0.324
0.041 0.750 0.113
0.169 0.539 0.468
0.169 0.961 0.468
0.203 0.250 0.363
0.297 0.750 0.863
0.331 0.039 0.968
0.331 0.461 0.968
0.459 0.250 0.613
0.541 0.750 0.387
0.669 0.539 0.032
0.669 0.961 0.032
0.703 0.250 0.137
0.797 0.750 0.637
0.831 0.039 0.532
0.831 0.461 0.532
0.959 0.250 0.887
```



Below is a relaxed structure of ScNbSi, with properties calculated at the PBE-GGA level.

Summary:
**DFT total energy**: -7.5001 eV/atom

Geometry as POSCAR:
```
ScNbSi
1.0
0.000 3.096 3.096
3.096 0.000 3.096
3.096 3.096 0.000
Sc Nb Si
1 1 1
direct
0.000 0.000 0.000
0.500 0.500 0.500
0.750 0.750 0.750
```



Below is a relaxed structure of ScNb2Si2, with properties calculated at the PBE-GGA level.

Summary:
**DFT total energy**: -8.0412 eV/atom

Geometry as POSCAR:
```
ScNb2Si2
1.0
-1.976 1.976 5.779
1.976 -1.976 5.779
1.976 1.976 -5.779
Sc Nb Si
1 2 2
direct
0.000 0.000 0.000
0.250 0.750 0.500
0.750 0.250 0.500
0.401 0.401 0.000
0.599 0.599 0.000
```



Below is a relaxed structure of ScNb2Si, with properties calculated at the PBE-GGA level.

Summary:
**DFT total energy**: -8.2087 eV/atom

Geometry as POSCAR:
```
ScNb2Si
1.0
0.000 3.269 3.269
3.269 0.000 3.269
3.269 3.269 0.000
Sc Nb Si
1 2 1
direct
0.000 0.000 0.000
0.250 0.250 0.250
0.500 0.500 0.500
0.750 0.750 0.750
```



Below is a relaxed structure of ScNb2Sn, with properties calculated at the PBE-GGA level.

Summary:
**DFT total energy**: -7.8027 eV/atom

Geometry as POSCAR:
```
ScNb2Sn
1.0
0.000 3.393 3.393
3.393 0.000 3.393
3.393 3.393 0.000
Sc Nb Sn
1 2 1
direct
0.000 0.000 0.000
0.250 0.250 0.250
0.500 0.500 0.500
0.750 0.750 0.750
```



Below is a relaxed structure of ScNbSn, with properties calculated at the PBE-GGA level.

Summary:
**DFT total energy**: -6.6524 eV/atom

Geometry as POSCAR:
```
ScNbSn
1.0
0.000 3.303 3.303
3.303 0.000 3.303
3.303 3.303 0.000
Sc Nb Sn
1 1 1
direct
0.000 0.000 0.000
0.500 0.500 0.500
0.250 0.250 0.250
```



Below is a relaxed structure of Sc2NbSn, with properties calculated at the PBE-GGA level.

Summary:
**DFT total energy**: -6.8053 eV/atom

Geometry as POSCAR:
```
Sc2NbSn
1.0
0.000 3.457 3.457
3.457 0.000 3.457
3.457 3.457 0.000
Sc Nb Sn
2 1 1
direct
0.000 0.000 0.000
0.250 0.250 0.250
0.750 0.750 0.750
0.500 0.500 0.500
```



Below is a relaxed structure of Sc2NbSn2, with properties calculated at the PBE-GGA level.

Summary:
**DFT total energy**: -6.0889 eV/atom

Geometry as POSCAR:
```
Sc2NbSn2
1.0
-2.005 2.005 6.912
2.005 -2.005 6.912
2.005 2.005 -6.912
Sc Nb Sn
2 1 2
direct
0.250 0.750 0.500
0.750 0.250 0.500
0.000 0.000 0.000
0.402 0.402 0.000
0.598 0.598 0.000
```



Below is a relaxed structure of Sc2Nb2Sn, with properties calculated at the PBE-GGA level.

Summary:
**DFT total energy**: -6.8186 eV/atom

Geometry as POSCAR:
```
Sc2Nb2Sn
1.0
-2.031 2.031 6.576
2.031 -2.031 6.576
2.031 2.031 -6.576
Sc Nb Sn
2 2 1
direct
0.250 0.750 0.500
0.750 0.250 0.500
0.090 0.090 0.000
0.910 0.910 0.000
0.500 0.500 0.000
```



Below is a relaxed structure of Sr2ScNb, with properties calculated at the PBE-GGA level.

Summary:
**DFT total energy**: -4.2149 eV/atom

Geometry as POSCAR:
```
Sr2ScNb
1.0
0.000 3.942 3.942
3.942 0.000 3.942
3.942 3.942 0.000
Sr Sc Nb
2 1 1
direct
0.000 0.000 0.000
0.250 0.250 0.250
0.500 0.500 0.500
0.750 0.750 0.750
```



Below is a relaxed structure of SrScNb2, with properties calculated at the PBE-GGA level.

Summary:
**DFT total energy**: -6.3659 eV/atom

Geometry as POSCAR:
```
SrScNb2
1.0
0.000 3.568 3.568
3.568 0.000 3.568
3.568 3.568 0.000
Sr Sc Nb
1 1 2
direct
0.000 0.000 0.000
0.750 0.750 0.750
0.250 0.250 0.250
0.500 0.500 0.500
```